Cs4PmF7 after structural relaxation. Source: the Alexandria database, functional GGA-PBE.

```
Cs4PmF7
1.0
7.466 -2.321 0.000
7.466 2.321 0.000
-6.470 0.000 9.633
Cs Pm F
4 1 7
direct
0.078 0.078 0.227
0.222 0.222 0.841
0.778 0.778 0.159
0.922 0.922 0.773
0.500 0.500 0.500
0.000 0.000 0.500
0.138 0.138 0.021
0.318 0.318 0.371
0.491 0.491 0.299
0.509 0.509 0.701
0.682 0.682 0.629
0.862 0.862 0.979
```

Calculated values
Magnetization   0.24 μB per formula unit
E_form (uncorrected)   -3.139 eV/atom
Calculated volume   27.82 A^3/atom